# SrCd2Tc, relaxed, DFT PBE
# Energy above the lowest structure with this stoichiometry (eV per atom): 0.092
# DOS at the Fermi energy (states/eV/f.u.): 3.5
# DFT total energy (eV per atom): -3.040
# DFT formation energy (meV per atom): 430
# Magnetization (μB per atom): 0.3664
data_SrCd2Tc
_space_group_name_H-M_alt 'P m m 2'
_space_group_IT_number 25
_cell_length_a 3.4353
_cell_length_b 3.8196
_cell_length_c 7.4909
_cell_angle_alpha 90.00
_cell_angle_beta 90.00
_cell_angle_gamma 90.00
loop_
_space_group_symop_operation_xyz
'x,y,z'
'-x,-y,z'
'-x,y,z'
'x,-y,z'
loop_
_atom_site_label
_atom_site_fract_x
_atom_site_fract_y
_atom_site_fract_z
Sr1 0.0000 0.0000 0.0000
Cd1 0.0000 0.0000 0.4424
Cd2 0.5000 0.5000 0.6730
Tc1 0.5000 0.5000 0.2825